Record 1
The following is a PBE calculation of crystalline ZrTiCu2 at its relaxed geometry, from Alexandria via LeMat-Bulk.

Lattice parameters (Å, degrees): 7.2070 7.2070 5.1582 90.00 90.00 90.00
Space group I-42d (No. 122)
Asymmetric unit:
Zr 0.0000 0.0000 0.0000 (multiplicity 4)
Ti 0.0000 0.0000 0.5000 (multiplicity 4)
Cu 0.2294 0.2500 0.6250 (multiplicity 8)

Properties
E above lowest polymorph = 349 meV per atom
calculated formation energy = 102 kJ/mol of formula units
density = 6.60 g/cm³


Record 2
The following is a PBE calculation of crystalline ZrTiCu3 at its relaxed geometry, from Alexandria via LeMat-Bulk.

Lattice parameters (Å, degrees): 6.1930 6.1930 4.8987 90.00 90.00 120.00
Space group P6_3/mmc (No. 194)
Asymmetric unit:
Zr 0.3333 0.6667 0.2500 (multiplicity 2)
Ti 0.0000 0.0000 0.0000 (multiplicity 2)
Cu 0.2042 0.4084 0.7500 (multiplicity 6)

Properties
E above lowest polymorph = 0 meV per atom
calculated formation energy = 81 kJ/mol of formula units
density = 6.73 g/cm³


Record 3
The following is a PBE calculation of crystalline ZrTiCu2 at its relaxed geometry, from Alexandria via LeMat-Bulk.

Lattice parameters (Å, degrees): 4.5186 4.5186 3.1887 90.00 90.00 90.00
Space group P4/mmm (No. 123)
Asymmetric unit:
Zr 0.0000 0.0000 0.0000 (multiplicity 1)
Ti 0.5000 0.5000 0.0000 (multiplicity 1)
Cu 0.0000 0.5000 0.5000 (multiplicity 2)

Properties
E above lowest polymorph = 28 meV per atom
calculated formation energy = -21 kJ/mol of formula units
density = 6.79 g/cm³


Record 4
The following is a PBE calculation of crystalline ZrTi3Cu at its relaxed geometry, from Alexandria via LeMat-Bulk.

Lattice parameters (Å, degrees): 4.7759 4.7759 4.7759 90.00 90.00 90.00
Space group Pm-3m (No. 221)
Asymmetric unit:
Zr 0.0000 0.0000 0.0000 (multiplicity 1)
Ti 0.0000 0.0000 0.5000 (multiplicity 3)
Cu 0.5000 0.5000 0.5000 (multiplicity 1)

Properties
E above lowest polymorph = 782 meV per atom
calculated formation energy = 655 kJ/mol of formula units
density = 4.55 g/cm³


Record 5
The following is a PBE calculation of crystalline Zr4TiCu at its relaxed geometry, from Alexandria via LeMat-Bulk.

Lattice parameters (Å, degrees): 6.8722 6.8722 10.6707 90.00 90.00 90.00
Space group I4/mcm (No. 140)
Asymmetric unit:
Zr 0.1541 0.3459 0.1385 (multiplicity 16)
Ti 0.0000 0.0000 0.0000 (multiplicity 4)
Cu 0.0000 0.0000 0.2500 (multiplicity 4)

Properties
E above lowest polymorph = 228 meV per atom
calculated formation energy = 121 kJ/mol of formula units
density = 6.28 g/cm³


Record 6
The following is a PBE calculation of crystalline Zr2TiCu2 at its relaxed geometry, from Alexandria via LeMat-Bulk.

Lattice parameters (Å, degrees): 7.7767 7.7767 3.0150 90.00 90.00 90.00
Space group P4/mbm (No. 127)
Asymmetric unit:
Zr 0.1605 0.3395 0.0000 (multiplicity 4)
Ti 0.0000 0.0000 0.0000 (multiplicity 2)
Cu 0.1346 0.6346 0.5000 (multiplicity 4)

Properties
E above lowest polymorph = 168 meV per atom
calculated formation energy = 68 kJ/mol of formula units
density = 6.51 g/cm³


Record 7
The following is a PBE calculation of crystalline Zr2TiCu6 at its relaxed geometry, from Alexandria via LeMat-Bulk.

Lattice parameters (Å, degrees): 5.2350 5.2350 5.7972 90.00 90.00 120.00
Space group P-3m1 (No. 164)
Asymmetric unit:
Zr 0.3333 0.6667 0.3841 (multiplicity 2)
Ti 0.0000 0.0000 0.5000 (multiplicity 1)
Cu 0.1751 0.3503 0.8381 (multiplicity 6)

Properties
calculated formation energy = -21 kJ/mol of formula units
density = 7.38 g/cm³


Record 8
The following is a PBE calculation of crystalline ZrTi2Cu2 at its relaxed geometry, from Alexandria via LeMat-Bulk.

Lattice parameters (Å, degrees): 7.7094 7.7094 2.7200 90.00 90.00 90.00
Space group P4/mbm (No. 127)
Asymmetric unit:
Zr 0.0000 0.0000 0.0000 (multiplicity 2)
Ti 0.1311 0.3689 0.0000 (multiplicity 4)
Cu 0.1675 0.6675 0.5000 (multiplicity 4)

Properties
E above lowest polymorph = 44 meV per atom
calculated formation energy = 15 kJ/mol of formula units
density = 6.45 g/cm³


Record 9
The following is a PBE calculation of crystalline ZrTi2Cu2 at its relaxed geometry, from Alexandria via LeMat-Bulk.

Lattice parameters (Å, degrees): 3.8643 3.8643 11.3615 90.00 90.00 90.00
Space group I4/mmm (No. 139)
Asymmetric unit:
Zr 0.0000 0.0000 0.0000 (multiplicity 2)
Ti 0.0000 0.5000 0.2500 (multiplicity 4)
Cu 0.0000 0.0000 0.3992 (multiplicity 4)

Properties
E above lowest polymorph = 102 meV per atom
calculated formation energy = 43 kJ/mol of formula units
density = 6.15 g/cm³


Record 10
The following is a PBE calculation of crystalline ZrTi3Cu at its relaxed geometry, from Alexandria via LeMat-Bulk.

Lattice parameters (Å, degrees): 4.6463 4.6463 4.6463 90.00 90.00 90.00
Space group Pm-3m (No. 221)
Asymmetric unit:
Zr 0.0000 0.0000 0.0000 (multiplicity 1)
Ti 0.0000 0.5000 0.5000 (multiplicity 3)
Cu 0.5000 0.5000 0.5000 (multiplicity 1)

Properties
E above lowest polymorph = 0 meV per atom
calculated formation energy = 278 kJ/mol of formula units
density = 4.94 g/cm³


Record 11
The following is a PBE calculation of crystalline ZrTi2Cu2 at its relaxed geometry, from Alexandria via LeMat-Bulk.

Lattice parameters (Å, degrees): 4.6358 4.6358 4.4143 90.00 90.00 90.00
Space group P4/mmm (No. 123)
Asymmetric unit:
Zr 0.0000 0.0000 0.0000 (multiplicity 1)
Ti 0.0000 0.5000 0.5000 (multiplicity 2)
Cu 0.5000 0.5000 0.0000 (multiplicity 1)
Cu 0.5000 0.5000 0.5000 (multiplicity 1)

Properties
E above lowest polymorph = 609 meV per atom
calculated formation energy = 288 kJ/mol of formula units
density = 5.50 g/cm³


Record 12
The following is a PBE calculation of crystalline Zr4TiCu at its relaxed geometry, from Alexandria via LeMat-Bulk.

Lattice parameters (Å, degrees): 3.1778 3.1778 12.1361 90.00 90.00 90.00
Space group P4/mmm (No. 123)
Asymmetric unit:
Zr 0.0000 0.0000 0.1458 (multiplicity 2)
Zr 0.5000 0.5000 0.3316 (multiplicity 2)
Ti 0.0000 0.0000 0.5000 (multiplicity 1)
Cu 0.5000 0.5000 0.0000 (multiplicity 1)

Properties
E above lowest polymorph = 0 meV per atom
calculated formation energy = -11 kJ/mol of formula units
density = 6.45 g/cm³


Record 13
The following is a PBE calculation of crystalline ZrTiCu2 at its relaxed geometry, from Alexandria via LeMat-Bulk.

Lattice parameters (Å, degrees): 3.1252 3.1252 6.5713 90.00 90.00 90.00
Space group P4/mmm (No. 123)
Asymmetric unit:
Zr 0.0000 0.0000 0.0000 (multiplicity 1)
Ti 0.0000 0.0000 0.5000 (multiplicity 1)
Cu 0.5000 0.5000 0.2844 (multiplicity 2)

Properties
E above lowest polymorph = 0 meV per atom
calculated formation energy = -32 kJ/mol of formula units
density = 6.89 g/cm³


Record 14
The following is a PBE calculation of crystalline ZrTiCu3 at its relaxed geometry, from Alexandria via LeMat-Bulk.

Lattice parameters (Å, degrees): 4.4829 4.4829 4.4829 90.00 90.00 90.00
Space group Pm-3m (No. 221)
Asymmetric unit:
Zr 0.0000 0.0000 0.0000 (multiplicity 1)
Ti 0.5000 0.5000 0.5000 (multiplicity 1)
Cu 0.0000 0.5000 0.5000 (multiplicity 3)

Properties
E above lowest polymorph = 616 meV per atom
calculated formation energy = 378 kJ/mol of formula units
density = 6.08 g/cm³


Record 15
The following is a PBE calculation of crystalline Zr2Ti2Cu at its relaxed geometry, from Alexandria via LeMat-Bulk.

Lattice parameters (Å, degrees): 6.7579 6.7579 4.1811 90.00 90.00 90.00
Space group P4/mbm (No. 127)
Asymmetric unit:
Zr 0.1610 0.3390 0.0000 (multiplicity 4)
Ti 0.1414 0.6414 0.5000 (multiplicity 4)
Cu 0.0000 0.0000 0.5000 (multiplicity 2)

Properties
E above lowest polymorph = 0 meV per atom
calculated formation energy = 58 kJ/mol of formula units
density = 5.94 g/cm³


Record 16
The following is a PBE calculation of crystalline ZrTiCu2 at its relaxed geometry, from Alexandria via LeMat-Bulk.

Lattice parameters (Å, degrees): 6.3811 6.3811 6.3811 90.00 90.00 90.00
Space group Fm-3m (No. 225)
Asymmetric unit:
Zr 0.0000 0.0000 0.0000 (multiplicity 4)
Ti 0.0000 0.0000 0.5000 (multiplicity 4)
Cu 0.2500 0.2500 0.2500 (multiplicity 8)

Properties
E above lowest polymorph = 15 meV per atom
calculated formation energy = -26 kJ/mol of formula units
density = 6.80 g/cm³


Record 17
The following is a PBE calculation of crystalline Zr2Ti2Cu at its relaxed geometry, from Alexandria via LeMat-Bulk.

Lattice parameters (Å, degrees): 3.5987 3.5987 15.4241 90.00 90.00 90.00
Space group I4/mmm (No. 139)
Asymmetric unit:
Zr 0.0000 0.0000 0.0951 (multiplicity 4)
Ti 0.0000 0.5000 0.2500 (multiplicity 4)
Cu 0.0000 0.0000 0.5000 (multiplicity 2)

Properties
E above lowest polymorph = 313 meV per atom
calculated formation energy = 209 kJ/mol of formula units
density = 5.68 g/cm³


Record 18
The following is a PBE calculation of crystalline Zr3TiCu at its relaxed geometry, from Alexandria via LeMat-Bulk.

Lattice parameters (Å, degrees): 4.9117 4.9117 4.9117 90.00 90.00 90.00
Space group Pm-3m (No. 221)
Asymmetric unit:
Zr 0.0000 0.0000 0.5000 (multiplicity 3)
Ti 0.0000 0.0000 0.0000 (multiplicity 1)
Cu 0.5000 0.5000 0.5000 (multiplicity 1)

Properties
E above lowest polymorph = 314 meV per atom
calculated formation energy = 465 kJ/mol of formula units
density = 5.40 g/cm³


Record 19
The following is a PBE calculation of crystalline Zr3TiCu at its relaxed geometry, from Alexandria via LeMat-Bulk.

Lattice parameters (Å, degrees): 4.9132 4.9132 4.9132 90.00 90.00 90.00
Space group Pm-3m (No. 221)
Asymmetric unit:
Zr 0.0000 0.0000 0.5000 (multiplicity 3)
Ti 0.5000 0.5000 0.5000 (multiplicity 1)
Cu 0.0000 0.0000 0.0000 (multiplicity 1)

Properties
E above lowest polymorph = 0 meV per atom
calculated formation energy = 313 kJ/mol of formula units
density = 5.39 g/cm³


Record 20
The following is a PBE calculation of crystalline ZrTi4Cu at its relaxed geometry, from Alexandria via LeMat-Bulk.

Lattice parameters (Å, degrees): 2.9473 2.9473 12.0165 90.00 90.00 90.00
Space group P4/mmm (No. 123)
Asymmetric unit:
Zr 0.0000 0.0000 0.0000 (multiplicity 1)
Ti 0.0000 0.0000 0.3543 (multiplicity 2)
Ti 0.5000 0.5000 0.1959 (multiplicity 2)
Cu 0.5000 0.5000 0.5000 (multiplicity 1)

Properties
calculated formation energy = -11 kJ/mol of formula units
density = 5.51 g/cm³